[1]
Material: YHo2Mg4
Method: DFT, GGA-PBE
State: optimized geometry

Computed properties:
The energy relative to the elements is 0.140 eV/atom. Its density is 4.13 g/cm3. For the raw total energy, the calculation gives -3.00 eV per atom. Its crystal system is tetragonal. Its energy above the lowest structure with this stoichiometry is 0.000 eV/atom.

CIF file:
```
data_YHo2Mg4
_cell_length_a 5.3602
_cell_length_b 5.3602
_cell_length_c 14.4524
_cell_angle_alpha 90.00
_cell_angle_beta 90.00
_cell_angle_gamma 90.00
_symmetry_space_group_name_H-M 'I 4/m m m'
_symmetry_Int_Tables_number 139
_symmetry_space_group_name_Hall '-I 4 2'
loop_
_atom_site_label
_atom_site_fract_x
_atom_site_fract_y
_atom_site_fract_z
_atom_site_occupancy
Y1 0.0000 0.0000 0.0000 1
Ho1 0.0000 0.0000 0.2503 1
Mg1 0.0000 0.5000 0.1182 1
```

***

[2]
Material: YHo2Mg
Method: DFT, GGA-PBE
State: optimized geometry

Computed properties:
The energy relative to the elements is 0.022 eV/atom. Its density is 6.16 g/cm3. For the raw total energy, the calculation gives -4.28 eV per atom. Its crystal system is trigonal. Its energy above the lowest structure with this stoichiometry is 0.054 eV/atom.

CIF file:
```
data_YHo2Mg
_cell_length_a 3.5196
_cell_length_b 3.5196
_cell_length_c 33.4193
_cell_angle_alpha 90.00
_cell_angle_beta 90.00
_cell_angle_gamma 120.00
_symmetry_space_group_name_H-M 'R -3 m'
_symmetry_Int_Tables_number 166
_symmetry_space_group_name_Hall '-R 3 2"'
loop_
_atom_site_label
_atom_site_fract_x
_atom_site_fract_y
_atom_site_fract_z
_atom_site_occupancy
Y1 0.0000 0.0000 0.0000 1
Ho1 0.0000 0.0000 0.2469 1
Mg1 0.0000 0.0000 0.5000 1
```

***

[3]
Material: YHo2Mg
Method: DFT, GGA-PBE
State: optimized geometry

Computed properties:
The energy relative to the elements is 0.049 eV/atom. Its density is 6.14 g/cm3. For the raw total energy, the calculation gives -4.25 eV per atom. Its crystal system is trigonal. Its energy above the lowest structure with this stoichiometry is 0.081 eV/atom.

CIF file:
```
data_YHo2Mg
_cell_length_a 3.4922
_cell_length_b 3.4922
_cell_length_c 34.0101
_cell_angle_alpha 90.00
_cell_angle_beta 90.00
_cell_angle_gamma 120.00
_symmetry_space_group_name_H-M 'R 3 m'
_symmetry_Int_Tables_number 160
_symmetry_space_group_name_Hall 'R 3 -2"'
loop_
_atom_site_label
_atom_site_fract_x
_atom_site_fract_y
_atom_site_fract_z
_atom_site_occupancy
Y1 0.0000 0.0000 0.0000 1
Ho1 0.0000 0.0000 0.4184 1
Ho2 0.0000 0.0000 0.5821 1
Mg1 0.0000 0.0000 0.1668 1
```

***

[4]
Material: Y2Ho2Mg3
Method: DFT, GGA-PBE
State: optimized geometry

Computed properties:
The energy relative to the elements is -0.074 eV/atom. Its density is 4.94 g/cm3. For the raw total energy, the calculation gives -3.91 eV per atom. Its crystal system is tetragonal. Its energy above the lowest structure with this stoichiometry is 0.000 eV/atom.

CIF file:
```
data_Y2Ho2Mg3
_cell_length_a 3.7481
_cell_length_b 3.7481
_cell_length_c 27.8043
_cell_angle_alpha 90.00
_cell_angle_beta 90.00
_cell_angle_gamma 90.00
_symmetry_space_group_name_H-M 'I 4/m m m'
_symmetry_Int_Tables_number 139
_symmetry_space_group_name_Hall '-I 4 2'
loop_
_atom_site_label
_atom_site_fract_x
_atom_site_fract_y
_atom_site_fract_z
_atom_site_occupancy
Y1 0.0000 0.0000 0.0685 1
Ho1 0.0000 0.0000 0.2081 1
Mg1 0.0000 0.0000 0.3611 1
Mg2 0.0000 0.0000 0.5000 1
```

***

[5]
Material: Y2HoMg
Method: DFT, GGA-PBE
State: optimized geometry

Computed properties:
The energy relative to the elements is 0.038 eV/atom. Its density is 5.10 g/cm3. For the raw total energy, the calculation gives -4.74 eV per atom. Its crystal system is tetragonal. Its energy above the lowest structure with this stoichiometry is 0.072 eV/atom.

CIF file:
```
data_Y2HoMg
_cell_length_a 5.4411
_cell_length_b 5.4411
_cell_length_c 4.0330
_cell_angle_alpha 90.00
_cell_angle_beta 90.00
_cell_angle_gamma 90.00
_symmetry_space_group_name_H-M 'P 4/m m m'
_symmetry_Int_Tables_number 123
_symmetry_space_group_name_Hall '-P 4 2'
loop_
_atom_site_label
_atom_site_fract_x
_atom_site_fract_y
_atom_site_fract_z
_atom_site_occupancy
Y1 0.0000 0.5000 0.0000 1
Ho1 0.0000 0.0000 0.5000 1
Mg1 0.5000 0.5000 0.5000 1
```

***

[6]
Material: Y12Ho7Mg
Method: DFT, GGA-PBE
State: optimized geometry

Computed properties:
The energy relative to the elements is 0.153 eV/atom. Its density is 5.83 g/cm3. For the raw total energy, the calculation gives -5.41 eV per atom. Its crystal system is trigonal. Its energy above the lowest structure with this stoichiometry is 0.000 eV/atom.

CIF file:
```
data_Y12Ho7Mg
_cell_length_a 14.8406
_cell_length_b 14.8406
_cell_length_c 10.0545
_cell_angle_alpha 90.00
_cell_angle_beta 90.00
_cell_angle_gamma 120.00
_symmetry_space_group_name_H-M 'R -3'
_symmetry_Int_Tables_number 148
_symmetry_space_group_name_Hall '-R 3'
loop_
_atom_site_label
_atom_site_fract_x
_atom_site_fract_y
_atom_site_fract_z
_atom_site_occupancy
Y1 0.0199 0.2498 0.0541 1
Y2 0.0449 0.1734 0.7430 1
Ho1 0.0000 0.0000 0.0000 1
Ho2 0.0736 0.4833 0.1051 1
Mg1 0.0000 0.0000 0.5000 1
```